(1)
Here is crystalline Th2Ni4Ge at its relaxed geometry from Alexandria. Energies are from PBE-GGA.

Calculated values
Magnetic moment (μB per formula unit): 0.0
VASP energy (eV/f.u.): -44.83

abc: 7.584 8.616 8.123
angles: 90.00 90.00 90.00
Space group Fmm2 (No. 42)
One atom of each set of equivalent atoms:
Th1 0.250 0.250 0.000 x8
Ni1 0.000 0.235 0.252 x8
Ni2 0.170 0.000 0.248 x8
Ge1 0.000 0.000 0.722 x4


(2)
Here is crystalline NaCrAs2Ru at its relaxed geometry from Alexandria. Energies are from PBE-GGA.

Calculated values
Magnetic moment (μB per formula unit): 2.5
VASP energy (eV/f.u.): -30.89

abc: 4.098 4.098 11.026
angles: 90.00 90.00 90.00
Space group I-4m2 (No. 119)
One atom of each set of equivalent atoms:
Na1 0.000 0.000 0.000 x2
Cr1 0.000 0.500 0.250 x2
As1 0.000 0.000 0.371 x4
Ru1 0.000 0.500 0.750 x2


(3)
Here is crystalline PuTh2BeN5 at its relaxed geometry from Alexandria. Energies are from PBE-GGA.

Calculated values
Magnetic moment (μB per formula unit): 3.0
VASP energy (eV/f.u.): -85.75

abc: 3.439 13.500 10.428
angles: 90.00 90.00 90.00
Space group Cmc2_1 (No. 36)
One atom of each set of equivalent atoms:
Pu1 0.000 0.184 0.000 x4
Th1 0.000 0.112 0.667 x4
Th2 0.000 0.131 0.309 x4
Be1 0.000 0.451 0.392 x4
N1 0.000 0.031 0.968 x4
N2 0.000 0.293 0.648 x4
N3 0.000 0.321 0.354 x4
N4 0.000 0.338 0.992 x4
N5 0.000 0.493 0.749 x4


(4)
Here is crystalline Sr2TaZn at its relaxed geometry from Alexandria. Energies are from PBE-GGA.

Calculated values
Magnetic moment (μB per formula unit): 0.9
VASP energy (eV/f.u.): -11.97

abc: 4.435 4.435 22.274
angles: 90.00 90.00 90.00
Space group I-42d (No. 122)
One atom of each set of equivalent atoms:
Sr1 0.242 0.250 0.125 x8
Ta1 0.000 0.000 0.500 x4
Zn1 0.000 0.000 0.000 x4


(5)
Here is crystalline TlAg2BrO at its relaxed geometry from Alexandria. Energies are from PBE-GGA.

Calculated values
Magnetic moment (μB per formula unit): 0.0
VASP energy (eV/f.u.): -16.00

abc: 4.486 4.486 5.720
angles: 90.00 90.00 90.00
Space group P4/mmm (No. 123)
One atom of each set of equivalent atoms:
Tl1 0.000 0.000 0.000 x1
Ag1 0.000 0.500 0.500 x2
Br1 0.500 0.500 0.000 x1
O1 0.000 0.000 0.500 x1


(6)
Here is crystalline Na2DyHfSe4 at its relaxed geometry from Alexandria. Energies are from PBE-GGA.

Calculated values
Magnetic moment (μB per formula unit): 0.0
VASP energy (eV/f.u.): -42.75

abc: 6.910 3.961 7.436
angles: 90.00 107.83 90.00
Space group P2/m (No. 10)
One atom of each set of equivalent atoms:
Na1 0.000 0.000 0.000 x1
Na2 0.500 0.500 0.000 x1
Dy1 0.000 0.500 0.500 x1
Hf1 0.500 0.000 0.500 x1
Se1 0.257 0.000 0.730 x2
Se2 0.272 0.500 0.277 x2


(7)
Here is crystalline Na2AcIn2Pb2 at its relaxed geometry from Alexandria. Energies are from PBE-GGA.

Calculated values
Magnetic moment (μB per formula unit): 0.0
VASP energy (eV/f.u.): -21.25

abc: 5.1900 5.1900 26.9259
angles: 90.00 90.00 120.00
Space group R-3m (No. 166, hexagonal axes)
One atom of each set of equivalent atoms:
Na1 0.0000 0.0000 0.1439 x6
Ac1 0.0000 0.0000 0.0000 x3
In1 0.0000 0.0000 0.4384 x6
Pb1 0.0000 0.0000 0.2662 x6


(8)
Here is crystalline MnTc2Ru at its relaxed geometry from Alexandria. Energies are from PBE-GGA.

Calculated values
Magnetic moment (μB per formula unit): 1.6
VASP energy (eV/f.u.): -38.82
Excess energy over the best structure of this formula in the dataset (kJ/mol of formula units): 13

abc: 2.695 3.794 5.391
angles: 90.00 90.00 90.00
Space group Pmm2 (No. 25)
One atom of each set of equivalent atoms:
Mn1 0.000 0.000 0.000 x1
Tc1 0.000 0.000 0.496 x1
Tc2 0.500 0.500 0.762 x1
Ru1 0.500 0.500 0.243 x1


(9)
Here is crystalline Ac3Sm2Dy6 at its relaxed geometry from Alexandria. Energies are from PBE-GGA.

Calculated values
Magnetic moment (μB per formula unit): 0.0
VASP energy (eV/f.u.): -46.80

abc: 6.391 11.093 11.747
angles: 90.00 100.59 90.00
Space group C2/m (No. 12)
One atom of each set of equivalent atoms:
Ac1 0.000 0.000 0.000 x2
Ac2 0.000 0.335 0.000 x4
Sm1 0.000 0.166 0.500 x4
Dy1 0.246 0.334 0.741 x8
Dy2 0.249 0.000 0.742 x4


(10)
Here is crystalline LiBeIn at its relaxed geometry from Alexandria. Energies are from PBE-GGA.

Calculated values
Magnetic moment (μB per formula unit): 0.0
VASP energy (eV/f.u.): -8.14
Excess energy over the best structure of this formula in the dataset (kJ/mol of formula units): 14

abc: 4.2119 4.2119 19.3349
angles: 90.00 90.00 120.00
Space group R3m (No. 160, hexagonal axes)
One atom of each set of equivalent atoms:
Li1 0.0000 0.0000 0.0000 x3
Li2 0.0000 0.0000 0.1620 x3
Be1 0.0000 0.0000 0.4583 x3
Be2 0.0000 0.0000 0.8643 x3
In1 0.0000 0.0000 0.5864 x3
In2 0.0000 0.0000 0.7385 x3


(11)
Here is crystalline CeEr2Tl4 at its relaxed geometry from Alexandria. Energies are from PBE-GGA.

Calculated values
Magnetic moment (μB per formula unit): 0.9
VASP energy (eV/f.u.): -25.00
Excess energy over the best structure of this formula in the dataset (kJ/mol of formula units): 61

abc: 4.9383 4.9383 29.9157
angles: 90.00 90.00 120.00
Space group R-3m (No. 166, hexagonal axes)
One atom of each set of equivalent atoms:
Ce1 0.0000 0.0000 0.0000 x3
Er1 0.0000 0.0000 0.1295 x6
Tl1 0.0000 0.0000 0.2416 x6
Tl2 0.0000 0.0000 0.3849 x6


(12)
Here is crystalline TaRu2RhO at its relaxed geometry from Alexandria. Energies are from PBE-GGA.

Calculated values
Magnetic moment (μB per formula unit): 4.2
VASP energy (eV/f.u.): -33.13

abc: 4.764 4.764 4.764
angles: 90.00 90.00 90.00
Space group P4/mmm (No. 123)
One atom of each set of equivalent atoms:
Ta1 0.000 0.000 0.000 x1
Ru1 0.000 0.500 0.000 x2
Rh1 0.000 0.000 0.500 x1
O1 0.500 0.500 0.500 x1